(1)
The following is a DFT calculation (SCAN) of a crystal of PW6Cl17 relaxed with PBEsol.

Lattice parameters (Å, degrees): 6.7265 10.1623 10.1623 60.98 70.67 70.67
Fractional coordinates of all 24 atoms:
Cl1 0.6758 0.0065 0.6420
Cl2 0.6239 0.0630 0.2354
Cl3 0.1130 0.7381 0.5531
W1 0.6407 0.6214 0.0972
Cl4 0.7833 0.4872 0.9463
P1 0.5000 0.8177 0.1823
Cl5 0.7423 0.1380 0.8620
W2 0.7041 0.6214 0.3786
Cl6 0.8870 0.4469 0.2619
Cl7 0.2577 0.1380 0.8620
Cl8 0.5000 0.4310 0.5690
Cl9 0.3761 0.7646 0.9370
Cl10 0.0778 0.0630 0.2354
Cl11 0.5958 0.7381 0.5531
Cl12 0.3242 0.3580 0.9935
W3 0.5796 0.9345 0.9064
Cl13 0.2167 0.0537 0.5128
Cl14 0.0000 0.4660 0.5340
Cl15 0.4042 0.4469 0.2619
W4 0.4204 0.0936 0.0655
Cl16 0.0000 0.7617 0.2383
W5 0.2959 0.6214 0.3786
Cl17 0.9222 0.7646 0.9370
W6 0.3593 0.9028 0.3786

Results
The raw formation energy is -834 meV/atom. The spin magnetization is 1.52 μB/f.u. Its space-group type is Imm2 (44).

=====

(2)
The following is a DFT calculation (SCAN) of a crystal of ZrP2WCl relaxed with PBEsol.

Lattice parameters (Å, degrees): 4.5393 4.6753 4.6753 90.00 90.00 90.00
Fractional coordinates of all 5 atoms:
Zr1 0.5000 0.5000 0.5000
W1 0.0000 0.0000 0.0000
Cl1 0.5000 0.0000 0.0000
P1 0.0000 0.5000 0.0000
P2 0.0000 0.0000 0.5000

Results
The raw formation energy is 410 meV/atom. The spin magnetization is 1.55 μB/f.u. Its space-group type is P4/mmm (123).

=====

(3)
The following is a DFT calculation (SCAN) of a crystal of YPCl2 relaxed with PBEsol.

Lattice parameters (Å, degrees): 3.2277 3.2277 8.4787 90.00 90.00 90.00
Fractional coordinates of all 4 atoms:
Cl1 0.0000 0.0000 0.3185
Cl2 0.0000 0.0000 0.6815
P1 0.5000 0.5000 0.0000
Y1 0.5000 0.5000 0.5000

Results
The raw formation energy is -920 meV/atom. The calculation puts the energy relative to the lowest polymorph listed for this composition at 1.879 eV per formula unit. The spin magnetization is 0.71 μB/f.u. Its space-group type is P4/mmm (123).